(1)
This record from Alexandria via LeMat-Bulk describes a crystal of Ta2POs relaxed with PBEsol. The functional is meta-GGA SCAN.

The formation energy is -2.0 kcal/mol of atoms. As for the total energy: -215.80 eV/f.u. The value obtained for the total magnetic moment is 0.000 μB per formula unit. The value obtained for the mass density is 15.74 g/cm3.

abc: 4.482 4.482 3.061
angles: 90.00 90.00 90.00
Space group P4/mmm (No. 123)
Symmetry-distinct sites (fractional):
Ta  0.000  0.500  0.000 [2 per cell]
P  0.000  0.000  0.500 [1 per cell]
Os  0.500  0.500  0.500 [1 per cell]

(2)
This record from Alexandria via LeMat-Bulk describes a crystal of Tc2POs relaxed with PBEsol. The functional is meta-GGA SCAN.

The formation energy is -3.8 kcal/mol of atoms. As for the total energy: -153.06 eV/f.u. The value obtained for the total magnetic moment is 0.000 μB per formula unit. The value obtained for the mass density is 13.19 g/cm3.

abc: 2.836 2.836 6.529
angles: 90.00 90.00 90.00
Space group P4mm (No. 99)
Symmetry-distinct sites (fractional):
Tc  0.000  0.000  0.000 [1 per cell]
Tc  0.500  0.500  0.281 [1 per cell]
P  0.500  0.500  0.789 [1 per cell]
Os  0.000  0.000  0.562 [1 per cell]